Record 1
VASP calculation (PBE) on a relaxed CrHgRu2 crystal.

a b c (Å): 9.1757 2.8731 4.8203
angles (deg): 90.00 101.35 90.00
With the nearest neighbours (Å) after each atom.
Space group Cm (No. 8)
Inequivalent atoms, fractional coordinates:
Cr (0.0000, 0.0000, 0.0000) [2 per cell]  5 Ru 2.54-2.83, 1 Hg 2.78
Hg (0.2402, 0.0000, 0.7266) [2 per cell]  3 Cr 2.78-2.87, 7 Ru 2.79-2.92, 2 Hg 2.87
Ru (0.2389, 0.5000, 0.2296) [2 per cell]  5 Ru 2.65-2.87, 3 Cr 2.67-2.83, 4 Hg 2.79-2.82
Ru (0.4796, 0.0000, 0.4243) [2 per cell]  2 Cr 2.54, 3 Ru 2.65-2.72

Values from the calculation:
- M_tot: 2.1 μB per formula unit
- DFT formation energy: 0.463 eV per atom
- Total DFT energy (no corrections): -6.656 eV per atom
- N(E_F): 5.426 states/eV/f.u.

=====

Record 2
VASP calculation (PBE) on a relaxed LiPrTl2F6 crystal.

a b c (Å): 6.2527 6.2700 8.8470
angles (deg): 90.00 90.00 90.00
With the nearest neighbours (Å) after each atom.
Space group Immm (No. 71)
Inequivalent atoms, fractional coordinates:
Li (0.0000, 0.0000, 0.0000) [2 per cell]  6 F 2.12
Pr (0.0000, 0.0000, 0.5000) [2 per cell]  6 F 2.31
Tl (0.0000, 0.5000, 0.2512) [4 per cell]  12 F 3.12-3.14
F (0.0000, 0.0000, 0.2394) [4 per cell]  1 Li 2.12, 1 Pr 2.31
F (0.2402, 0.2387, 0.0000) [8 per cell]  1 Li 2.12, 1 Pr 2.31

Values from the calculation:
- Uncorrected formation energy: -65.697 kcal/mol of atoms
- M_tot: 0.0 μB per formula unit
- Total DFT energy (no corrections): -5.114 eV per atom
- N(E_F): 0.000 states/eV/f.u.

=====

Record 3
VASP calculation (PBE) on a relaxed SmY6Er2 crystal.

a b c (Å): 12.8405 14.2090 6.5558
angles (deg): 90.00 103.12 90.00
With the nearest neighbours (Å) after each atom.
Space group C2/c (No. 15)
Inequivalent atoms, fractional coordinates:
Sm (0.0000, 0.1209, 0.2500) [4 per cell]  6 Y 3.28-3.50
Y (0.0362, 0.3149, 0.0027) [8 per cell]  5 Y 3.23-3.57, 1 Sm 3.28, 3 Er 3.36-3.45
Y (0.1370, 0.0850, 0.8155) [8 per cell]  3 Sm 3.39-3.76, 3 Y 3.43-3.46, 2 Er 3.48-3.51
Y (0.2394, 0.3010, 0.7267) [8 per cell]  6 Y 3.37-3.52, 2 Er 3.48-3.61, 1 Sm 3.50
Er (0.1379, 0.4768, 0.3678) [8 per cell]  3 Er 3.34-3.53, 7 Y 3.36-3.61

Values from the calculation:
- Distance to the lowest polymorph of the same formula: 0.028 eV per atom
- M_tot: 0.0 μB per formula unit
- DFT formation energy: 0.097 eV per atom
- Total DFT energy (no corrections): -5.751 eV per atom
- N(E_F): 11.637 states/eV/f.u.

=====

Record 4
VASP calculation (PBE) on a relaxed ThSc2Pb crystal.

a b c (Å): 7.5423 7.5423 7.5423
angles (deg): 90.00 90.00 90.00
With the nearest neighbours (Å) after each atom.
Space group F-43m (No. 216)
Inequivalent atoms, fractional coordinates:
Th (0.0000, 0.0000, 0.0000) [4 per cell]  4 Pb 3.27, 4 Sc 3.27
Sc (0.0000, 0.0000, 0.5000) [4 per cell]  4 Pb 3.27, 4 Sc 3.27
Sc (0.2500, 0.2500, 0.7500) [4 per cell]  4 Th 3.27, 4 Sc 3.27
Pb (0.2500, 0.2500, 0.2500) [4 per cell]  4 Th 3.27, 4 Sc 3.27

Values from the calculation:
- Distance to the lowest polymorph of the same formula: 0.213 eV per atom
- M_tot: 0.0 μB per formula unit
- DFT formation energy: 0.005 eV per atom
- Total DFT energy (no corrections): -5.943 eV per atom
- N(E_F): 3.408 states/eV/f.u.